TeRuAu: relaxed, GGA-PBEsol.

## Properties
Calculated total energy   -4.953 eV/atom

Cell: 4.465 4.465 4.465 Å, 60.00 60.00 60.00°
Each line ends with the local moment (μB).
Fractional coordinates of all 3 atoms:
Au (0.750, 0.750, 0.750)  0.04
Ru (0.000, 0.000, 0.000)  0.88
Te (0.500, 0.500, 0.500)  -0.01

Te2RuAu: relaxed, GGA-PBEsol.

## Properties
Energy above the most stable polymorph in this dataset   168.1 meV/atom

Cell: 3.907 3.898 5.560 Å, 89.79 90.00 90.00°
Fractional coordinates of all 4 atoms:
Au (0.500, 0.500, 0.000)
Ru (0.000, 0.000, 0.500)
Te (0.000, 0.000, 0.000)
Te (0.500, 0.500, 0.500)

TeRu2Au: relaxed, GGA-PBEsol.

## Properties
Calculated total energy   -6.476 eV/atom

Cell: 2.906 2.906 9.545 Å, 81.25 81.25 60.00°
Fractional coordinates of all 4 atoms:
Au (0.260, 0.260, 0.220)
Ru (0.008, 0.008, 0.977)
Ru (0.743, 0.743, 0.770)
Te (0.489, 0.489, 0.533)

TeRuAu2: relaxed, GGA-PBEsol.

## Properties
Calculated total energy   -4.808 eV/atom

Cell: 2.970 2.970 9.805 Å, 81.29 81.29 60.00°
Each line ends with the local moment (μB).
Fractional coordinates of all 4 atoms:
Au (0.241, 0.241, 0.276)  0.06
Au (0.759, 0.759, 0.724)  0.06
Ru (0.500, 0.500, 0.500)  1.05
Te (0.000, 0.000, 0.000)  0.00